Entry from Alexandria: MnSnNF2 after structural relaxation (PBE with a Hubbard U).

Cell: 4.0844 4.0844 4.1630 Å, 90.00 90.00 90.00°
Element x y z (fractional)
Mn: 0.0000 0.0000 0.0000
Sn: 0.5000 0.5000 0.5000
N: 0.0000 0.0000 0.5000
F: 0.0000 0.5000 0.0000
F: 0.5000 0.0000 0.0000

Computed properties:
The volume is 13.9 A^3/atom. The magnetic moment comes out at 0.801 μB/atom. For the energy above the most stable polymorph in this dataset, the calculation gives 0.000 eV per atom. As for the space group: No. 123. The calculated density comes out at 5.4 g/cm3. The density of states at the Fermi level is 1.50 states/eV/cell.